4
Lattice="0.000 3.691 3.691 3.691 0.000 3.691 3.691 3.691 0.000" Properties=species:S:1:pos:R:3 comment="NdSmMgSi (PBE, optimized geometry)" crystal_system=cubic e_form_raw_ev_per_atom=-0.284 total_magnetization_mub_per_fu=0.000 pbc="T T T"
Nd 0.000 0.000 0.000
Sm 3.691 3.691 3.691
Mg 5.536 5.536 5.536
Si 1.845 1.845 1.845

***

4
Lattice="1.424 0.822 8.728 -1.424 0.822 8.728 0.000 -1.644 8.728" Properties=species:S:1:pos:R:3 comment="ScCrCu2 (PBE, optimized geometry)" crystal_system=trigonal polymorph_energy_mev_per_atom=367.1 ef_kj_per_mol_atoms=39 total_magnetization_mub_per_fu=3.136 pbc="T T T"
Sc 0.000 0.000 0.000
Cr 0.000 0.000 13.091
Cu 0.000 0.000 6.405
Cu 0.000 0.000 19.777

***

4
Lattice="0.000 3.888 3.888 3.888 0.000 3.888 3.888 3.888 0.000" Properties=species:S:1:pos:R:3 comment="PmThCdPb (PBE, optimized geometry)" crystal_system=cubic ef_kj_per_mol_atoms=-24 total_magnetization_mub_per_fu=0.000 pbc="T T T"
Pm 0.000 0.000 0.000
Th 3.888 3.888 3.888
Cd 5.832 5.832 5.832
Pb 1.944 1.944 1.944

***

4
Lattice="2.076 1.199 6.612 -2.076 1.199 6.612 0.000 -2.397 6.612" Properties=species:S:1:pos:R:3 comment="SrHgOs2 (PBE, optimized geometry)" crystal_system=trigonal ef_kj_per_mol_atoms=29 total_magnetization_mub_per_fu=0.000 pbc="T T T"
Sr 0.000 0.000 0.000
Hg 0.000 0.000 4.291
Os 0.000 0.000 9.208
Os 0.000 0.000 15.411

***

8
Lattice="-3.737 3.860 4.316 3.737 -3.860 4.316 3.737 3.860 -4.316" Properties=species:S:1:pos:R:3 comment="TlSnHg2Se4 (PBE, optimized geometry)" crystal_system=orthorhombic e_form_raw_ev_per_atom=-0.238 total_magnetization_mub_per_fu=0.000 pbc="T T T"
Tl 0.000 0.000 0.000
Sn 0.000 0.000 4.316
Hg 3.737 0.000 2.318
Hg 0.000 3.860 1.998
Se 2.229 2.338 -1.456
Se 1.509 -1.522 5.772
Se 1.509 1.522 2.860
Se 2.229 5.381 1.456

***

10
Lattice="0.000 5.219 5.219 5.219 0.000 5.219 5.219 5.219 0.000" Properties=species:S:1:pos:R:3 comment="Na2CeCuCl6 (PBE, optimized geometry)" crystal_system=cubic e_form_raw_ev_per_atom=-1.505 total_magnetization_mub_per_fu=0.998 pbc="T T T"
Na 2.610 2.610 2.610
Na 7.829 7.829 7.829
Ce 0.000 0.000 0.000
Cu 5.219 5.219 5.219
Cl 5.219 5.219 2.720
Cl 5.219 2.720 5.219
Cl 7.719 5.219 5.219
Cl 2.720 5.219 5.219
Cl 5.219 7.719 5.219
Cl 5.219 5.219 7.719

***

5
Lattice="4.632 0.000 0.000 0.000 4.632 0.000 0.000 0.000 5.535" Properties=species:S:1:pos:R:3 comment="CsScAgC2 (PBE, optimized geometry)" crystal_system=tetragonal ef_kj_per_mol_atoms=302 total_magnetization_mub_per_fu=0.000 pbc="T T T"
Cs 0.000 0.000 0.000
Sc 0.000 0.000 2.768
Ag 2.316 2.316 2.768
C 0.000 2.316 0.000
C 2.316 0.000 0.000

***

5
Lattice="-2.092 2.092 6.669 2.092 -2.092 6.669 2.092 2.092 -6.669" Properties=species:S:1:pos:R:3 comment="BaTiAs2Pd (PBE, optimized geometry)" crystal_system=tetragonal ef_kj_per_mol_atoms=-94 total_magnetization_mub_per_fu=0.000 pbc="T T T"
Ba 0.000 0.000 0.000
Ti 2.092 0.000 3.334
As 0.000 0.000 4.808
As 0.000 0.000 8.530
Pd 0.000 2.092 3.334

***

4
Lattice="2.710 0.000 0.000 0.000 3.500 0.000 0.000 0.000 5.780" Properties=species:S:1:pos:R:3 comment="Ni2AgRh (PBE, optimized geometry)" crystal_system=orthorhombic ef_kj_per_mol_atoms=21 total_magnetization_mub_per_fu=2.130 pbc="T T T"
Ni 0.000 0.000 0.000
Ni 1.355 1.750 1.233
Ag 1.355 1.750 4.257
Rh 0.000 0.000 2.513

***

18
Lattice="5.847 0.000 0.000 -2.923 5.063 0.000 0.000 0.000 9.114" Properties=species:S:1:pos:R:3 comment="LiPuBiO6 (PBE, optimized geometry)" crystal_system=trigonal e_form_raw_ev_per_atom=-1.697 total_magnetization_mub_per_fu=0.034 pbc="T T T"
Li 0.000 0.000 0.000
Li 0.000 0.000 4.557
Pu 0.000 3.376 2.279
Pu 2.923 1.688 6.836
Bi 0.000 3.376 6.836
Bi 2.923 1.688 2.279
O -0.852 1.929 1.212
O -1.679 3.361 3.345
O 0.852 1.929 3.345
O -0.827 4.837 1.212
O 2.097 0.226 5.769
O 1.244 1.702 7.902
O 1.679 3.361 1.212
O 0.827 4.837 3.345
O 3.750 0.226 7.902
O 2.071 3.134 5.769
O 4.602 1.702 5.769
O 3.775 3.134 7.902

***

8
Lattice="-4.638 4.638 2.755 4.638 -4.638 2.755 4.638 4.638 -2.755" Properties=species:S:1:pos:R:3 comment="TiGaBr2 (PBE, optimized geometry)" crystal_system=tetragonal polymorph_energy_mev_per_atom=146.8 e_form_raw_ev_per_atom=-0.412 total_magnetization_mub_per_fu=1.470 pbc="T T T"
Ti 0.000 0.000 0.000
Ti 0.000 4.638 1.377
Ga 4.638 0.000 1.377
Ga 0.000 0.000 2.755
Br 0.949 2.319 0.689
Br -2.319 3.689 2.066
Br -0.949 6.957 0.689
Br 2.319 5.587 2.066

***

12
Lattice="4.696 0.000 0.000 0.000 2.504 0.000 -0.328 0.000 6.509" Properties=species:S:1:pos:R:3 comment="BC2 (PBE, optimized geometry)" crystal_system=monoclinic polymorph_energy_mev_per_atom=95.3 ef_kj_per_mol_atoms=32 total_magnetization_mub_per_fu=0.000 pbc="T T T"
B 0.355 0.626 2.881
B 0.840 1.878 5.685
B 3.528 0.626 0.824
B 4.013 1.878 3.628
C 0.389 0.626 1.285
C 1.147 1.878 0.849
C 1.842 0.626 3.544
C 1.794 0.626 5.066
C 2.574 1.878 1.443
C 2.526 1.878 2.966
C 3.221 0.626 5.660
C 3.979 1.878 5.225

***

12
Lattice="3.626 -3.131 0.000 3.626 3.131 0.000 -1.210 0.000 6.787" Properties=species:S:1:pos:R:3 comment="NdGa2IO8 (PBE, optimized geometry)" crystal_system=monoclinic e_form_raw_ev_per_atom=-1.457 total_magnetization_mub_per_fu=0.000 pbc="T T T"
Nd 0.000 0.000 0.000
Ga 2.294 0.000 5.287
Ga 3.748 0.000 1.500
I -0.605 0.000 3.394
O 3.191 1.836 1.964
O 2.851 1.836 4.823
O 1.244 0.000 3.633
O 2.374 0.000 0.048
O 3.668 0.000 6.739
O 4.798 0.000 3.154
O 3.191 -1.836 1.964
O 2.851 -1.836 4.823

***

Number 1: E -17.641 eV per cell. Number 2: E -22.510 eV per cell. Number 3: E -17.790 eV per cell. Number 4: E -23.245 eV per cell. Number 5: E -22.817 eV per cell. Number 6: E -38.802 eV per cell. Number 7: E -12.857 eV per cell. Number 8: E -29.176 eV per cell. Number 9: E -20.878 eV per cell. Number 10: E -130.294 eV per cell. Number 11: E -31.833 eV per cell. Number 12: E -96.478 eV per cell. Number 13: E -69.520 eV per cell.